Compound: Zr2Fe2W
Source: Alexandria via LeMat-Bulk
Functional: PBE
Structure: optimized geometry

Unit cell a=6.236 b=6.236 c=4.302 alpha=90.00 beta=90.00 gamma=90.00
Positions (direct):
Fe: 0.631 0.131 0.000
Zr: 0.818 0.318 0.500
Fe: 0.869 0.631 0.000
Fe: 0.369 0.869 0.000
Zr: 0.182 0.682 0.500
Zr: 0.318 0.182 0.500
W: 0.000 0.000 0.000
Fe: 0.131 0.369 0.000
Zr: 0.682 0.818 0.500
W: 0.500 0.500 0.000

Computed properties:
Total magnetization (μB per cell): 0.0
E (eV for the cell shown): -94.0